Entry 1:
Cs2TlCdF6 | GGA-PBE | optimized geometry

Geometry as POSCAR:
```
Cs2TlCdF6
1.0
3.168 1.829 5.263
-3.168 1.829 5.263
0.000 -3.658 5.263
Cs Tl Cd F
2 1 1 6
Direct
0.000 0.000 0.000
0.500 0.500 0.500
0.251 0.251 0.251
0.751 0.751 0.751
0.005 0.983 0.503
0.500 0.517 0.993
0.503 0.005 0.983
0.517 0.993 0.500
0.983 0.503 0.005
0.993 0.500 0.517
```

## Properties
Its space-group type is No. 146. For the calculated total energy, the calculation gives -3.889 eV per atom.

***

Entry 2:
TbAgAsO | GGA-PBE | optimized geometry

Geometry as POSCAR:
```
TbAgAsO
1.0
3.700 0.000 0.000
0.000 7.926 0.000
0.000 0.000 5.993
Tb Ag As O
2 2 2 2
Direct
0.000 0.212 0.000
0.000 0.788 0.500
0.500 0.378 0.514
0.500 0.622 0.014
0.000 0.157 0.500
0.000 0.843 0.000
0.500 0.341 0.005
0.500 0.659 0.505
```

## Properties
Its space-group type is No. 26. The calculation puts the energy above the most stable polymorph in this dataset at 355 meV per atom.

***

Entry 3:
NaCoAgTe2Se | GGA-PBE | optimized geometry

Geometry as POSCAR:
```
NaCoAgTe2Se
1.0
1.914 -6.860 0.000
1.914 6.860 0.000
0.000 0.000 10.515
Na Co Ag Te Se
2 2 2 4 2
Direct
0.246 0.754 0.750
0.754 0.246 0.250
0.000 0.000 0.000
0.000 0.000 0.500
0.434 0.566 0.250
0.566 0.434 0.750
0.373 0.627 0.008
0.373 0.627 0.492
0.627 0.373 0.508
0.627 0.373 0.992
0.069 0.931 0.250
0.931 0.069 0.750
```

## Properties
Its space-group type is No. 63. For the calculated total energy, the calculation gives -3.661 eV per atom.

***

Entry 4:
Li4ReO5 | GGA-PBE | optimized geometry

Geometry as POSCAR:
```
Li4ReO5
1.0
5.036 0.000 0.000
-0.985 4.970 0.000
-1.563 -2.754 7.031
Li Re O
8 2 10
Direct
0.000 0.000 0.000
0.073 0.192 0.692
0.199 0.394 0.396
0.281 0.598 0.102
0.500 0.000 0.500
0.719 0.402 0.898
0.801 0.606 0.604
0.927 0.808 0.308
0.390 0.782 0.782
0.610 0.218 0.218
0.070 0.607 0.845
0.162 0.808 0.564
0.274 0.013 0.250
0.371 0.171 0.957
0.448 0.422 0.663
0.552 0.578 0.337
0.629 0.829 0.043
0.726 0.987 0.750
0.838 0.192 0.436
0.930 0.393 0.155
```

## Properties
Its space-group type is No. 2. For the calculated total energy, the calculation gives -6.376 eV per atom.

***

Entry 5:
Hf2ZnRe | GGA-PBE | optimized geometry

Geometry as POSCAR:
```
Hf2ZnRe
1.0
4.667 0.000 0.000
-2.334 4.042 0.000
0.000 0.000 8.098
Hf Zn Re
4 2 2
Direct
0.333 0.667 0.086
0.333 0.667 0.414
0.667 0.333 0.586
0.667 0.333 0.914
0.000 0.000 0.250
0.000 0.000 0.750
0.333 0.667 0.750
0.667 0.333 0.250
```

## Properties
Its space-group type is No. 194. For the energy of formation from the pure elements, the calculation gives 0.29 eV/f.u.

***

Entry 6:
BeInAsOs | GGA-PBE | optimized geometry

Geometry as POSCAR:
```
BeInAsOs
1.0
0.000 3.166 3.166
3.166 0.000 3.166
3.166 3.166 0.000
Be In As Os
1 1 1 1
Direct
0.000 0.000 0.000
0.750 0.750 0.750
0.250 0.250 0.250
0.500 0.500 0.500
```

## Properties
Its space-group type is No. 216. The calculation puts the energy above the most stable polymorph in this dataset at 0 meV per atom.

***

Entry 7:
YNbSi2 | GGA-PBE | optimized geometry

Geometry as POSCAR:
```
YNbSi2
1.0
0.000 3.308 3.308
3.308 0.000 3.308
3.308 3.308 0.000
Y Nb Si
1 1 2
Direct
0.000 0.000 0.000
0.750 0.750 0.750
0.250 0.250 0.250
0.500 0.500 0.500
```

## Properties
Its space-group type is No. 216. For the calculated total energy, the calculation gives -6.575 eV per atom.

***

Entry 8:
PaTl2Cl6 | GGA-PBE | optimized geometry

Geometry as POSCAR:
```
PaTl2Cl6
1.0
6.425 -3.712 0.000
6.425 3.712 0.000
-1.529 0.000 6.608
Pa Tl Cl
1 2 6
Direct
0.000 0.000 0.000
0.295 0.295 0.779
0.705 0.705 0.221
0.152 0.651 0.170
0.164 0.164 0.315
0.349 0.848 0.830
0.651 0.152 0.170
0.836 0.836 0.685
0.848 0.349 0.830
```

## Properties
Its space-group type is No. 12. The calculation puts the energy above the most stable polymorph in this dataset at 0 meV per atom.

***

Entry 9:
AsOsPbO | GGA-PBE | optimized geometry

Geometry as POSCAR:
```
AsOsPbO
1.0
3.890 0.000 0.000
0.000 3.890 0.000
0.000 0.000 10.616
As Os Pb O
2 2 2 2
Direct
0.250 0.250 0.149
0.750 0.750 0.851
0.250 0.750 0.000
0.750 0.250 0.000
0.250 0.250 0.617
0.750 0.750 0.383
0.250 0.750 0.500
0.750 0.250 0.500
```

## Properties
Its space-group type is No. 129. The calculation puts the energy above the most stable polymorph in this dataset at 0 meV per atom.

***

Entry 10:
CsPtO3 | GGA-PBE | optimized geometry

Geometry as POSCAR:
```
CsPtO3
1.0
6.194 0.000 0.000
-3.097 5.365 0.000
0.000 0.000 5.501
Cs Pt O
2 2 6
Direct
0.333 0.667 0.250
0.667 0.333 0.750
0.000 0.000 0.000
0.000 0.000 0.500
0.137 0.274 0.750
0.137 0.863 0.750
0.274 0.137 0.250
0.726 0.863 0.750
0.863 0.137 0.250
0.863 0.726 0.250
```

## Properties
Its space-group type is No. 194. For the calculated total energy, the calculation gives -5.196 eV per atom.

***

Entry 11:
LuTaBi2 | GGA-PBE | optimized geometry

Geometry as POSCAR:
```
LuTaBi2
1.0
0.000 3.703 3.703
3.703 0.000 3.703
3.703 3.703 0.000
Lu Ta Bi
1 1 2
Direct
0.000 0.000 0.000
0.750 0.750 0.750
0.250 0.250 0.250
0.500 0.500 0.500
```

## Properties
Its space-group type is No. 216. For the calculated total energy, the calculation gives -5.664 eV per atom.

***

Entry 12:
NaSmSi | GGA-PBE | optimized geometry

Geometry as POSCAR:
```
NaSmSi
1.0
0.000 3.462 3.462
3.462 0.000 3.462
3.462 3.462 0.000
Na Sm Si
1 1 1
Direct
0.000 0.000 0.000
0.500 0.500 0.500
0.250 0.250 0.250
```

## Properties
Its space-group type is No. 216. For the calculated total energy, the calculation gives -4.036 eV per atom.